Compound: HoMgCdGe
Source: the Alexandria database
Functional: GGA-PBE
Structure: optimized geometry

The structure belongs to space group F-43m (No. 216); the cell edges are 7.0726, 7.0726 and 7.0726 Å and the angles 90.00°, 90.00° and 90.00°. The distinct sites, in fractional coordinates, are Ho at (0.0000, 0.0000, 0.0000), Mg at (0.0000, 0.0000, 0.5000), Cd at (0.2500, 0.2500, 0.7500) and Ge at (0.2500, 0.2500, 0.2500).

The formation energy comes out at -0.2817 eV/atom. Its uncorrected energy is -3.208 eV/atom.